Na2LiCd2Au5 after structural relaxation, computed with GGA-PBE.

a b c (Å): 10.955 10.955 3.535
angles (deg): 90.00 90.00 90.00
Fractional coordinates of all 20 atoms:
Na: 0.167 0.333 0.000
Na: 0.333 0.833 0.000
Na: 0.667 0.167 0.000
Na: 0.833 0.667 0.000
Li: 0.000 0.000 0.000
Li: 0.500 0.500 0.000
Cd: 0.139 0.639 0.000
Cd: 0.361 0.139 0.000
Cd: 0.639 0.861 0.000
Cd: 0.861 0.361 0.000
Au: 0.000 0.500 0.500
Au: 0.055 0.822 0.500
Au: 0.178 0.055 0.500
Au: 0.322 0.555 0.500
Au: 0.445 0.322 0.500
Au: 0.500 0.000 0.500
Au: 0.555 0.678 0.500
Au: 0.678 0.445 0.500
Au: 0.822 0.945 0.500
Au: 0.945 0.178 0.500

density of states at the Fermi level: 0.3145 states/eV/atom
energy relative to the elements: -250 meV/atom
space group: P4/mbm, No. 127

---

LiNdCdAu2 after structural relaxation, computed with GGA-PBE.

a b c (Å): 5.567 6.813 5.758
angles (deg): 90.00 90.00 90.00
Fractional coordinates of all 10 atoms:
Li: 0.000 0.000 0.000
Li: 0.500 0.000 0.000
Nd: 0.250 0.500 0.248
Nd: 0.750 0.500 0.752
Cd: 0.250 0.000 0.411
Cd: 0.750 0.000 0.589
Au: 0.250 0.289 0.766
Au: 0.250 0.711 0.766
Au: 0.750 0.289 0.234
Au: 0.750 0.711 0.234

density of states at the Fermi level: 0.4756 states/eV/atom
energy relative to the elements: -522 meV/atom
space group: Pmma, No. 51

---

Li2NdCdAu4 after structural relaxation, computed with GGA-PBE.

a b c (Å): 9.286 9.286 9.286
angles (deg): 28.61 28.61 28.61
Fractional coordinates of all 8 atoms:
Li: 0.235 0.235 0.235
Li: 0.765 0.765 0.765
Nd: 0.000 0.000 0.000
Cd: 0.500 0.500 0.500
Au: 0.119 0.119 0.119
Au: 0.394 0.394 0.394
Au: 0.606 0.606 0.606
Au: 0.881 0.881 0.881

density of states at the Fermi level: 0.4798 states/eV/atom
energy relative to the elements: -529 meV/atom
space group: R-3m, No. 166

---

LiNdCd2Au4 after structural relaxation, computed with GGA-PBE.

a b c (Å): 8.723 8.723 8.723
angles (deg): 31.89 31.89 31.89
Fractional coordinates of all 8 atoms:
Li: 0.000 0.000 0.000
Nd: 0.500 0.500 0.500
Cd: 0.255 0.255 0.255
Cd: 0.745 0.745 0.745
Au: 0.108 0.108 0.108
Au: 0.372 0.372 0.372
Au: 0.628 0.628 0.628
Au: 0.892 0.892 0.892

density of states at the Fermi level: 0.3672 states/eV/atom
energy relative to the elements: -498 meV/atom
space group: R-3m, No. 166

---

LiCdNiAu after structural relaxation, computed with GGA-PBE.

a b c (Å): 6.261 6.261 6.261
angles (deg): 90.00 90.00 90.00
Fractional coordinates of all 16 atoms:
Li: 0.000 0.000 0.000
Li: 0.000 0.500 0.500
Li: 0.500 0.000 0.500
Li: 0.500 0.500 0.000
Cd: 0.250 0.250 0.750
Cd: 0.250 0.750 0.250
Cd: 0.750 0.250 0.250
Cd: 0.750 0.750 0.750
Ni: 0.000 0.000 0.500
Ni: 0.000 0.500 0.000
Ni: 0.500 0.000 0.000
Ni: 0.500 0.500 0.500
Au: 0.250 0.250 0.250
Au: 0.250 0.750 0.750
Au: 0.750 0.250 0.750
Au: 0.750 0.750 0.250

density of states at the Fermi level: 0.7873 states/eV/atom
energy relative to the elements: -214 meV/atom
space group: F-43m, No. 216

---

Li2CdNiAu after structural relaxation, computed with GGA-PBE.

a b c (Å): 4.666 4.666 4.859
angles (deg): 90.00 90.00 90.00
Fractional coordinates of all 5 atoms:
Li: 0.000 0.500 0.000
Li: 0.500 0.000 0.000
Cd: 0.000 0.000 0.500
Ni: 0.500 0.500 0.500
Au: 0.500 0.500 0.000

density of states at the Fermi level: 0.6278 states/eV/atom
energy relative to the elements: 188 meV/atom
space group: P4/mmm, No. 123

---

LiCd2AuO4 after structural relaxation, computed with GGA-PBE.

a b c (Å): 6.248 6.248 6.936
angles (deg): 115.84 115.84 91.26
Fractional coordinates of all 16 atoms:
Li: 0.000 0.000 0.000
Li: 0.000 0.000 0.500
Cd: 0.000 0.500 0.000
Cd: 0.500 0.000 0.500
Cd: 0.500 0.500 0.000
Cd: 0.500 0.500 0.500
Au: 0.000 0.500 0.500
Au: 0.500 0.000 0.000
O: 0.174 0.691 0.407
O: 0.242 0.285 0.551
O: 0.285 0.242 0.051
O: 0.309 0.826 0.093
O: 0.691 0.174 0.907
O: 0.715 0.758 0.949
O: 0.758 0.715 0.449
O: 0.826 0.309 0.593

uncorrected formation energy: -885 meV per atom
space group: C2/c, No. 15

---

Li5Cd2PbAu2 after structural relaxation, computed with GGA-PBE.

a b c (Å): 10.175 10.175 3.719
angles (deg): 90.00 90.00 90.00
Fractional coordinates of all 20 atoms:
Li: 0.000 0.500 0.000
Li: 0.073 0.207 0.000
Li: 0.207 0.927 0.000
Li: 0.293 0.427 0.000
Li: 0.427 0.707 0.000
Li: 0.500 0.000 0.000
Li: 0.573 0.293 0.000
Li: 0.707 0.573 0.000
Li: 0.793 0.073 0.000
Li: 0.927 0.793 0.000
Cd: 0.172 0.672 0.500
Cd: 0.328 0.172 0.500
Cd: 0.672 0.828 0.500
Cd: 0.828 0.328 0.500
Pb: 0.000 0.000 0.500
Pb: 0.500 0.500 0.500
Au: 0.125 0.375 0.500
Au: 0.375 0.875 0.500
Au: 0.625 0.125 0.500
Au: 0.875 0.625 0.500

density of states at the Fermi level: 0.3361 states/eV/atom
energy relative to the elements: -313 meV/atom
space group: P4/mbm, No. 127

---

no.,raw total energy (eV per atom)
1,-2.53
2,-3.35
3,-3.36
4,-3.20
5,-3.19
6,-2.57
7,-4.24
8,-2.48